Entry 1:
A plane-wave DFT calculation with PBE was carried out for an optimized crystal structure of NdTmZnRu.

Lattice parameters (Å, degrees): 3.990 4.293 5.696 90.00 110.50 90.00
Positions (direct):
1 Tm 0.136 0.000 0.273
2 Zn 0.434 0.000 0.868
3 Ru 0.578 0.500 0.155
4 Nd 0.852 0.500 0.704

Properties
- E_tot (eV/atom) = -5.232
- formation energy (eV/atom) = -0.284
- distance to the lowest polymorph of the same formula (meV/atom) = 10
- total magnetization (μB/cell) = 0.0
- density of states at the Fermi level (states/eV/cell) = 4.5
- V (Å³/atom) = 22.85

=====

Entry 2:
A plane-wave DFT calculation with PBE was carried out for an optimized crystal structure of Nd2URu4.

Lattice parameters (Å, degrees): 4.442 4.442 7.929 106.27 106.27 90.00
Positions (direct):
1 Ru 0.596 0.096 0.193
2 Ru 0.096 0.596 0.193
3 Ru 0.404 0.904 0.807
4 Ru 0.904 0.404 0.807
5 Nd 0.267 0.267 0.533
6 Nd 0.733 0.733 0.467
7 U 0.000 0.000 0.000

Properties
- E_tot (eV/atom) = -8.178
- formation energy (eV/atom) = 0.098
- total magnetization (μB/cell) = 0.0
- density of states at the Fermi level (states/eV/cell) = 7.3
- V (Å³/atom) = 20.52

=====

Entry 3:
A plane-wave DFT calculation with PBE was carried out for an optimized crystal structure of Nd2URu2.

Lattice parameters (Å, degrees): 5.946 5.946 7.843 82.48 82.48 62.11
Positions (direct):
1 U 0.868 0.132 0.750
2 U 0.132 0.868 0.250
3 Ru 0.243 0.999 0.484
4 Ru 0.757 0.001 0.516
5 Ru 0.001 0.757 0.016
6 Ru 0.999 0.243 0.984
7 Nd 0.229 0.470 0.651
8 Nd 0.771 0.530 0.349
9 Nd 0.530 0.771 0.849
10 Nd 0.470 0.229 0.151

Properties
- E_tot (eV/atom) = -8.177
- formation energy (eV/atom) = -0.302
- total magnetization (μB/cell) = 0.0
- density of states at the Fermi level (states/eV/cell) = 15.0
- V (Å³/atom) = 24.22

=====

Entry 4:
A plane-wave DFT calculation with PBE was carried out for an optimized crystal structure of NdURu4.

Lattice parameters (Å, degrees): 5.350 5.350 5.350 60.00 60.00 60.00
Each line ends with the local moment (μB).
Positions (direct):
1 Ru 0.625 0.625 0.126  -0.11
2 Ru 0.625 0.625 0.625  -0.11
3 Ru 0.126 0.625 0.625  -0.11
4 Ru 0.625 0.126 0.625  -0.11
5 U 0.250 0.250 0.250  1.73
6 Nd 0.000 0.000 0.000  0.05

Properties
- E_tot (eV/atom) = -8.942
- formation energy (eV/atom) = -0.082
- distance to the lowest polymorph of the same formula (meV/atom) = 0
- total magnetization (μB/cell) = 1.6
- density of states at the Fermi level (states/eV/cell) = 11.3
- V (Å³/atom) = 18.04

=====

Entry 5:
A plane-wave DFT calculation with PBE was carried out for an optimized crystal structure of NdURu4.

Lattice parameters (Å, degrees): 5.752 5.834 8.204 110.83 117.03 90.00
Positions (direct):
1 U 0.789 0.582 0.164
2 U 0.211 0.418 0.836
3 Ru 0.525 0.895 0.226
4 Ru 0.717 0.303 0.606
5 Ru 0.475 0.105 0.774
6 Ru 0.475 0.669 0.774
7 Ru 0.000 0.249 0.000
8 Ru 0.000 0.751 0.000
9 Ru 0.525 0.331 0.226
10 Ru 0.283 0.697 0.394
11 Nd 0.107 0.191 0.382
12 Nd 0.893 0.809 0.618

Properties
- E_tot (eV/atom) = -8.866
- formation energy (eV/atom) = -0.006
- distance to the lowest polymorph of the same formula (meV/atom) = 75
- total magnetization (μB/cell) = 0.0
- density of states at the Fermi level (states/eV/cell) = 13.4
- V (Å³/atom) = 18.73

=====

Entry 6:
A plane-wave DFT calculation with PBE was carried out for an optimized crystal structure of Nd2URu3.

Lattice parameters (Å, degrees): 4.573 6.072 5.578 77.90 65.80 67.88
Positions (direct):
1 Ru 0.874 0.553 0.699
2 Ru 0.822 0.223 0.132
3 Ru 0.171 0.750 0.908
4 Nd 0.429 0.840 0.302
5 Nd 0.569 0.168 0.695
6 U 0.135 0.465 0.264

Properties
- E_tot (eV/atom) = -8.290
- formation energy (eV/atom) = -0.182
- total magnetization (μB/cell) = 0.0
- density of states at the Fermi level (states/eV/cell) = 5.1
- V (Å³/atom) = 21.77